Record 1
# Sb2SCl

Sb2SCl after structural relaxation (GGA-PBE, the Alexandria database).

Cell lengths 5.0271, 5.0271, 17.8916 Å; angles 90.00, 90.00, 90.00 degrees
Space group I-42d (No. 122)
Unique sites:
1 Sb 0.1761 0.2500 0.1250
2 S 0.0000 0.0000 0.0000
3 Cl 0.0000 0.0000 0.5000

Calculated values
The total energy comes out at -3.62 eV per atom.



Record 2
# Ti8Bi2Os

Ti8Bi2Os after structural relaxation (GGA-PBE, the Alexandria database).

Cell lengths 14.9387, 4.3987, 6.6454 Å; angles 90.00, 110.47, 90.00 degrees
Space group C2/m (No. 12)
Unique sites:
1 Ti 0.0262 0.0000 0.2814
2 Ti 0.0805 0.5000 0.9164
3 Ti 0.1516 0.5000 0.4077
4 Ti 0.1552 0.0000 0.7002
5 Bi 0.1984 0.0000 0.1679
6 Os 0.0000 0.5000 0.5000

Calculated values
The value obtained for the formation energy is -133 meV/atom.



Record 3
# Tl2InAg

Tl2InAg after structural relaxation (GGA-PBE, the Alexandria database).

Cell lengths 3.8148, 5.1417, 5.4095 Å; angles 90.00, 90.00, 90.00 degrees
Space group Pmmm (No. 47)
Unique sites:
1 Tl 0.0000 0.0000 0.0000
2 Tl 0.5000 0.5000 0.0000
3 In 0.0000 0.5000 0.5000
4 Ag 0.5000 0.0000 0.5000

Calculated values
The value obtained for the formation energy is 122 meV/atom.



| no. | total magnetic moment (μB per formula unit) | D(E_F) (states/eV/cell) |
| --- | --- | --- |
| 1 | 0.0 | 5.4 |
| 2 | 0.0 | 25.4 |
| 3 | 0.0 | 1.6 |